A plane-wave DFT calculation with PBE-GGA was carried out for a geometry-optimized BaCa3Pd structure.

Computed properties:
For the distance to the lowest polymorph of the same formula, the calculation gives 471 meV/atom. The value obtained for the formation energy is 0.80 eV per formula unit.

Structure (CIF):
```
data_BaCa3Pd
_chemical_formula_sum 'Ba2 Ca6 Pd2'
_cell_length_a 4.134
_cell_length_b 7.568
_cell_length_c 19.525
_cell_angle_alpha 90.00
_cell_angle_beta 90.00
_cell_angle_gamma 90.00
_symmetry_space_group_name_H-M 'A m m 2'
_symmetry_Int_Tables_number 38
_symmetry_space_group_name_Hall 'A 2 -2'
loop_
_atom_site_label
_atom_site_type_symbol
_atom_site_fract_x
_atom_site_fract_y
_atom_site_fract_z
Ba1 Ba 0.000 0.000 0.000
Ca1 Ca 0.000 0.249 0.183
Ca2 Ca 0.500 0.000 0.814
Pd1 Pd 0.500 0.000 0.667
```